# 1
! PBE TbSm2Al9, optimized geometry; values from VASP
&SYSTEM
  ibrav = 0, nat = 12, ntyp = 3
/
ATOMIC_SPECIES
Tb 158.93 Tb.upf
Sm 150.36 Sm.upf
Al 26.98 Al.upf
CELL_PARAMETERS angstrom
5.622 0.000 0.000
2.811 4.869 0.000
2.811 1.623 8.803
ATOMIC_POSITIONS angstrom
Tb 0.000 0.000 0.000
Sm 8.433 4.869 3.745
Sm 2.811 1.623 5.058
Al 5.622 3.246 0.052
Al 5.622 3.246 8.751
Al 5.622 3.246 4.401
Al 4.186 2.417 2.185
Al 7.059 2.417 2.185
Al 5.622 4.905 2.185
Al 7.059 4.075 6.618
Al 5.622 1.587 6.618
Al 4.185 4.075 6.618
! D(E_F)   5.4 states/eV/cell
! E_form   -0.37 eV/atom

# 2
! PBE Tb4Sm5Al, optimized geometry; values from VASP
&SYSTEM
  ibrav = 0, nat = 10, ntyp = 3
/
ATOMIC_SPECIES
Tb 158.93 Tb.upf
Sm 150.36 Sm.upf
Al 26.98 Al.upf
CELL_PARAMETERS angstrom
5.790 0.000 0.000
2.895 7.511 0.000
2.895 0.000 7.511
ATOMIC_POSITIONS angstrom
Tb 5.540 2.365 5.146
Tb 8.435 5.146 5.146
Tb 2.645 2.365 2.365
Tb 5.540 5.146 2.365
Sm 5.576 2.764 0.000
Sm 2.681 0.000 4.747
Sm 8.471 7.511 2.764
Sm 5.576 4.747 7.511
Sm 3.794 0.000 0.000
Al 1.019 0.000 0.000
! Energy above the lowest structure with this stoichiometry   0.180 eV/atom
! D(E_F)   12.8 states/eV/cell
! E_form   0.13 eV/atom

# 3
! PBE TbSm2Al3, optimized geometry; values from VASP
&SYSTEM
  ibrav = 0, nat = 6, ntyp = 3
/
ATOMIC_SPECIES
Tb 158.93 Tb.upf
Sm 150.36 Sm.upf
Al 26.98 Al.upf
CELL_PARAMETERS angstrom
3.647 0.000 0.000
0.000 3.647 0.000
0.000 0.000 11.035
ATOMIC_POSITIONS angstrom
Tb 1.823 1.823 5.518
Sm 1.823 1.823 9.169
Sm 1.823 1.823 1.866
Al 0.000 0.000 0.000
Al 0.000 0.000 7.290
Al 0.000 0.000 3.745
! D(E_F)   2.3 states/eV/cell
! E_form   -0.38 eV/atom

# 4
! PBE Tb2Sm8Al, optimized geometry; values from VASP
&SYSTEM
  ibrav = 0, nat = 11, ntyp = 3
/
ATOMIC_SPECIES
Tb 158.93 Tb.upf
Sm 150.36 Sm.upf
Al 26.98 Al.upf
CELL_PARAMETERS angstrom
5.508 0.000 0.000
0.000 7.566 -0.241
-2.754 -3.502 8.784
ATOMIC_POSITIONS angstrom
Tb 2.754 0.174 5.324
Tb 0.000 3.890 3.219
Sm 0.000 1.960 6.309
Sm 2.754 5.615 2.126
Sm 2.754 3.960 5.425
Sm 2.754 -1.618 8.723
Sm 0.000 0.103 3.118
Sm 0.000 -1.552 6.417
Sm 2.754 2.103 2.234
Sm 0.000 5.681 -0.180
Al 2.754 0.000 0.000
! D(E_F)   17.6 states/eV/cell
! E_form   0.03 eV/atom

# 5
! PBE TbSm5Al2, optimized geometry; values from VASP
&SYSTEM
  ibrav = 0, nat = 8, ntyp = 3
/
ATOMIC_SPECIES
Tb 158.93 Tb.upf
Sm 150.36 Sm.upf
Al 26.98 Al.upf
CELL_PARAMETERS angstrom
3.638 0.000 0.000
1.819 8.067 -0.635
1.819 1.821 7.884
ATOMIC_POSITIONS angstrom
Tb 0.000 0.000 0.000
Sm 1.819 4.944 3.624
Sm 3.638 4.919 0.739
Sm 3.638 4.969 6.510
Sm 3.638 7.703 2.781
Sm 3.638 2.185 4.468
Al 5.458 7.663 5.618
Al 1.819 2.225 1.631
! Energy above the lowest structure with this stoichiometry   0.000 eV/atom
! D(E_F)   10.9 states/eV/cell
! E_form   -0.07 eV/atom

# 6
! PBE Tb3SmAl, optimized geometry; values from VASP
&SYSTEM
  ibrav = 0, nat = 20, ntyp = 3
/
ATOMIC_SPECIES
Tb 158.93 Tb.upf
Sm 150.36 Sm.upf
Al 26.98 Al.upf
CELL_PARAMETERS angstrom
-7.034 -0.334 -0.445
0.631 -5.118 -6.122
-0.065 -8.066 7.080
ATOMIC_POSITIONS angstrom
Tb -2.590 -4.987 0.278
Tb -3.878 -8.530 0.235
Tb -6.228 -2.037 -0.375
Tb -0.240 -11.481 0.889
Tb -1.059 -7.213 -2.060
Tb -5.409 -6.304 2.573
Tb -4.590 -4.808 -3.998
Tb -1.879 -8.710 4.511
Tb -4.141 -8.187 -3.432
Tb -2.328 -5.331 3.945
Tb -0.863 -3.804 -2.585
Tb -5.605 -9.713 3.098
Sm -5.761 -5.618 -0.751
Sm -0.707 -7.900 1.264
Sm -2.515 -1.380 0.688
Sm -3.954 -12.137 -0.175
Al -3.712 -2.894 -1.762
Al -2.757 -10.624 2.275
Al -0.361 -3.905 1.966
Al -6.107 -9.613 -1.453
! Energy above the lowest structure with this stoichiometry   0.101 eV/atom
! D(E_F)   24.3 states/eV/cell
! E_form   -0.03 eV/atom